Record 1
The following is a DFT calculation (PBE-GGA) of a geometry-optimized Pr9Sm4Hg11 structure.

abc: 3.6705 14.2194 14.2194
angles: 111.59 90.00 90.00
Atoms (fractional coordinates):
Pr 0.5000 0.6267 0.1446
Pr 0.5000 0.3733 0.8554
Pr 0.5000 0.1446 0.6267
Pr 0.5000 0.8554 0.3733
Pr 0.5000 0.7934 0.9627
Pr 0.5000 0.2066 0.0373
Pr 0.5000 0.9627 0.7934
Pr 0.5000 0.0373 0.2066
Pr 0.5000 0.5000 0.5000
Sm 0.5000 0.5596 0.7455
Sm 0.5000 0.4404 0.2545
Sm 0.5000 0.7455 0.5596
Sm 0.5000 0.2545 0.4404
Hg 0.0000 0.5862 0.9415
Hg 0.0000 0.4138 0.0585
Hg 0.0000 0.9415 0.5862
Hg 0.0000 0.0585 0.4138
Hg 0.0000 0.6369 0.3631
Hg 0.0000 0.3631 0.6369
Hg 0.0000 0.8309 0.1691
Hg 0.0000 0.1691 0.8309
Hg 0.0000 0.0000 0.0000
Hg 0.0000 0.7446 0.7446
Hg 0.0000 0.2554 0.2554

Mass density (g/cm³): 9.81
Magnetization (μB per cell): 1.64
Energy (eV per formula unit): -74.47
DFT formation energy (eV per atom): -0.386

Record 2
The following is a DFT calculation (PBE-GGA) of a geometry-optimized PrSmHg3 structure.

abc: 3.6008 5.0368 14.9868
angles: 90.00 96.90 90.00
Atoms (fractional coordinates):
Pr 0.9249 0.7500 0.8497
Pr 0.0751 0.2500 0.1503
Sm 0.2101 0.7500 0.4202
Sm 0.7899 0.2500 0.5798
Hg 0.6215 0.7500 0.2429
Hg 0.3785 0.2500 0.7571
Hg 0.5238 0.7500 0.0476
Hg 0.4762 0.2500 0.9524
Hg 0.6801 0.2500 0.3602
Hg 0.3199 0.7500 0.6398

Mass density (g/cm³): 10.99
Magnetization (μB per cell): 0.33
Energy (eV per formula unit): -12.54
DFT formation energy (eV per atom): -0.427

Record 3
The following is a DFT calculation (PBE-GGA) of a geometry-optimized Pr3SmHg2 structure.

abc: 7.4430 7.6529 9.2191
angles: 114.52 113.81 90.00
Atoms (fractional coordinates):
Pr 0.5000 0.2500 0.0000
Pr 0.5000 0.7500 0.0000
Pr 0.7722 0.0222 0.5445
Pr 0.2278 0.4778 0.4555
Pr 0.2278 0.9778 0.4555
Pr 0.7722 0.5222 0.5445
Sm 0.0000 0.5000 0.0000
Sm 0.0000 0.0000 0.0000
Hg 0.5640 0.3620 0.7239
Hg 0.8401 0.1380 0.2761
Hg 0.1599 0.8620 0.7239
Hg 0.4360 0.6380 0.2761

Mass density (g/cm³): 7.56
Magnetization (μB per cell): 0.00
Energy (eV per formula unit): -20.13
DFT formation energy (eV per atom): -0.078

Record 4
The following is a DFT calculation (PBE-GGA) of a geometry-optimized Pr4SmHg4 structure.

abc: 5.8175 9.6881 9.6881
angles: 90.00 90.00 90.00
Atoms (fractional coordinates):
Pr 0.3941 0.4125 0.8413
Pr 0.8941 0.6587 0.9125
Pr 0.3941 0.5875 0.1587
Pr 0.1059 0.0875 0.6587
Pr 0.6059 0.8413 0.5875
Pr 0.1059 0.9125 0.3413
Pr 0.8941 0.3413 0.0875
Pr 0.6059 0.1587 0.4125
Sm 0.0000 0.0000 0.0000
Sm 0.5000 0.5000 0.5000
Hg 0.6081 0.8976 0.2001
Hg 0.6081 0.1024 0.7999
Hg 0.1081 0.7001 0.6024
Hg 0.8919 0.3976 0.7001
Hg 0.8919 0.6024 0.2999
Hg 0.3919 0.2001 0.1024
Hg 0.3919 0.7999 0.8976
Hg 0.1081 0.2999 0.3976

Mass density (g/cm³): 9.22
Magnetization (μB per cell): 0.00
Energy (eV per formula unit): -27.44
DFT formation energy (eV per atom): -0.266

Record 5
The following is a DFT calculation (PBE-GGA) of a geometry-optimized Pr2SmHg7 structure.

abc: 5.0610 5.0610 12.2249
angles: 90.00 90.00 120.00
Atoms (fractional coordinates):
Pr 0.6667 0.3333 0.2781
Pr 0.3333 0.6667 0.6488
Sm 0.0000 0.0000 0.0117
Hg 0.3333 0.6667 0.3876
Hg 0.3333 0.6667 0.1469
Hg 0.0000 0.0000 0.4549
Hg 0.0000 0.0000 0.7434
Hg 0.6667 0.3333 0.5545
Hg 0.6667 0.3333 0.8477
Hg 0.3333 0.6667 0.9099

Mass density (g/cm³): 11.24
Magnetization (μB per cell): 0.00
Energy (eV per formula unit): -19.59
DFT formation energy (eV per atom): -0.320

Record 6
The following is a DFT calculation (PBE-GGA) of a geometry-optimized PrSmHg4 structure.

abc: 4.5923 4.6034 8.7627
angles: 89.97 89.99 90.00
Atoms (fractional coordinates):
Pr 0.5013 0.4973 0.9981
Sm 0.0013 0.9973 0.4981
Hg 0.5014 0.9972 0.2534
Hg 0.5013 0.9973 0.7429
Hg 0.0013 0.4972 0.7422
Hg 0.0012 0.4973 0.2541

Mass density (g/cm³): 9.80
Magnetization (μB per cell): 0.00
Energy (eV per formula unit): -11.87
DFT formation energy (eV per atom): -0.195

Record 7
The following is a DFT calculation (PBE-GGA) of a geometry-optimized Pr2Sm3Hg4 structure.

abc: 7.1048 8.3766 9.7623
angles: 90.00 111.34 90.00
Atoms (fractional coordinates):
Pr 0.0948 0.5865 0.1895
Pr 0.9052 0.4135 0.8105
Pr 0.4052 0.0865 0.8105
Pr 0.5948 0.9135 0.1895
Sm 0.0000 0.0000 0.0000
Sm 0.5000 0.5000 0.0000
Sm 0.5103 0.7500 0.5206
Sm 0.9897 0.2500 0.4794
Sm 0.4897 0.2500 0.4794
Sm 0.0103 0.7500 0.5206
Hg 0.6840 0.7500 0.8681
Hg 0.8160 0.2500 0.1319
Hg 0.3160 0.2500 0.1319
Hg 0.1840 0.7500 0.8681
Hg 0.1674 0.9722 0.3347
Hg 0.8326 0.0278 0.6653
Hg 0.3326 0.4722 0.6653
Hg 0.6674 0.5278 0.3347

Mass density (g/cm³): 9.42
Magnetization (μB per cell): 0.00
Energy (eV per formula unit): -27.92
DFT formation energy (eV per atom): -0.333

Record 8
The following is a DFT calculation (PBE-GGA) of a geometry-optimized PrSm2Hg structure.

abc: 3.7211 3.7211 9.0068
angles: 90.00 90.00 90.00
Atoms (fractional coordinates):
Pr 0.5000 0.5000 0.5000
Hg 0.5000 0.5000 0.0000
Sm 0.0000 0.0000 0.7824
Sm 0.0000 0.0000 0.2176

Mass density (g/cm³): 8.55
Magnetization (μB per cell): 0.00
Energy (eV per formula unit): -15.45
DFT formation energy (eV per atom): -0.232